Here is crystalline Ta2ZnCl at its relaxed geometry from the Alexandria database. Energies are from PBE. Values from VASP.

Output
- size of the total moment (μB/cell) = 0.0
- space group = Cmm2
- energy relative to the elements, uncorrected (eV/atom) = -0.061

The structure in Quantum ESPRESSO input format:
```
&SYSTEM
  ibrav = 0, nat = 4, ntyp = 3
/
ATOMIC_SPECIES
Ta 180.95 Ta.upf
Zn 65.41 Zn.upf
Cl 35.45 Cl.upf
CELL_PARAMETERS angstrom
1.794 -2.327 0.000
1.794 2.327 0.000
0.000 0.000 9.491
ATOMIC_POSITIONS angstrom
Ta 0.000 0.000 0.000
Ta 1.794 0.000 2.193
Zn 1.794 0.000 7.492
Cl 0.000 0.000 4.069
```